LiSm2Tl6 after structural relaxation, computed with GGA-PBE.

Lattice parameters (Å, degrees): 3.646 8.553 9.236 117.59 90.00 90.00
Element x y z (fractional)
Li 0.000 0.000 0.000
Sm 0.500 0.692 0.383
Sm 0.500 0.308 0.617
Tl 0.000 0.339 0.312
Tl 0.000 0.027 0.688
Tl 0.000 0.661 0.688
Tl 0.500 0.312 0.000
Tl 0.000 0.973 0.312
Tl 0.500 0.688 0.000

Values from the calculation:
Energy relative to the elements in eV per atom: -0.1335

***

Li4SmTl2 after structural relaxation, computed with GGA-PBE.

Lattice parameters (Å, degrees): 4.784 7.973 7.973 90.00 90.00 90.00
Element x y z (fractional)
Li 0.000 0.104 0.356
Li 0.000 0.896 0.644
Li 0.500 0.144 0.604
Li 0.500 0.856 0.396
Li 0.500 0.396 0.856
Li 0.500 0.604 0.144
Li 0.000 0.356 0.104
Li 0.000 0.644 0.896
Sm 0.500 0.000 0.000
Sm 0.000 0.500 0.500
Tl 0.000 0.210 0.790
Tl 0.000 0.790 0.210
Tl 0.500 0.710 0.710
Tl 0.500 0.290 0.290

Values from the calculation:
Energy relative to the elements in eV per atom: -0.2295

***

LiSm3Tl2 after structural relaxation, computed with GGA-PBE.

Lattice parameters (Å, degrees): 6.613 6.527 9.349 110.43 110.71 90.00
Element x y z (fractional)
Li 0.000 0.250 0.000
Li 0.000 0.750 0.000
Sm 0.408 0.677 0.355
Sm 0.592 0.323 0.645
Sm 0.054 0.823 0.645
Sm 0.946 0.177 0.355
Sm 0.500 0.750 0.000
Sm 0.500 0.250 0.000
Tl 0.368 0.130 0.259
Tl 0.632 0.870 0.741
Tl 0.109 0.370 0.741
Tl 0.891 0.630 0.259

Values from the calculation:
Energy relative to the elements in eV per atom: -0.2287
Energy above the lowest structure with this stoichiometry in eV/atom: 0.034

***

LiSm5Tl4 after structural relaxation, computed with GGA-PBE.

Lattice parameters (Å, degrees): 3.711 3.711 20.567 90.00 90.00 90.00
Element x y z (fractional)
Li 0.000 0.000 0.000
Sm 0.500 0.500 0.095
Sm 0.500 0.500 0.296
Sm 0.500 0.500 0.500
Sm 0.500 0.500 0.704
Sm 0.500 0.500 0.905
Tl 0.000 0.000 0.191
Tl 0.000 0.000 0.397
Tl 0.000 0.000 0.603
Tl 0.000 0.000 0.809

Values from the calculation:
Energy relative to the elements in eV per atom: -0.2925

***

LiSm4Tl5 after structural relaxation, computed with GGA-PBE.

Lattice parameters (Å, degrees): 3.640 3.640 20.480 90.00 90.00 90.00
Element x y z (fractional)
Li 0.000 0.000 0.000
Sm 0.000 0.000 0.183
Sm 0.000 0.000 0.394
Sm 0.000 0.000 0.606
Sm 0.000 0.000 0.817
Tl 0.500 0.500 0.079
Tl 0.500 0.500 0.289
Tl 0.500 0.500 0.500
Tl 0.500 0.500 0.711
Tl 0.500 0.500 0.921

Values from the calculation:
Energy relative to the elements in eV per atom: -0.3546

***

LiSmTl2 after structural relaxation, computed with GGA-PBE.

Lattice parameters (Å, degrees): 3.658 3.658 9.460 78.85 78.85 60.00
Element x y z (fractional)
Li 0.500 0.500 0.501
Sm 0.667 0.667 0.000
Tl 0.094 0.094 0.718
Tl 0.240 0.240 0.281

Values from the calculation:
Energy relative to the elements in eV per atom: -0.1529
Energy above the lowest structure with this stoichiometry in eV/atom: 0.178

***

Magnetic moment in μB/cell, matching the order above: 0.00 0.00 0.00 0.00 0.00 0.00